Compound: Ba3LiTi3O8
Source: Alexandria via LeMat-Bulk
Functional: PBE
Structure: relaxed

Calculated values
E_form (uncorrected) = -2637 meV per atom
Space group = Cm
Polymorph energy (0 for the lowest one) = 41.5 meV per atom

Cell: 5.923 5.923 7.728 Å, 79.31 79.31 59.23°
Fractional positions:
O1 0.394 0.867 0.661
Li1 0.845 0.845 0.443
Ba1 0.613 0.613 0.281
Ti1 0.314 0.314 0.158
Ba2 0.365 0.365 0.708
O2 0.867 0.394 0.661
O3 0.489 0.489 0.985
Ti2 0.065 0.065 0.589
O4 0.107 0.585 0.296
Ti3 0.682 0.682 0.847
O5 0.585 0.107 0.296
O6 0.982 0.482 0.987
O7 0.482 0.982 0.987
Ba3 0.990 0.990 0.027
O8 0.884 0.884 0.677

=====

Compound: BaLi2Ti3O8
Source: Alexandria via LeMat-Bulk
Functional: PBE
Structure: relaxed

Calculated values
E_form (uncorrected) = -2752 meV per atom
Space group = R3m

Cell: 6.036 6.036 7.248 Å, 65.39 65.39 60.00°
Fractional positions:
O1 0.237 0.237 0.826
O2 0.766 0.766 0.156
Li1 0.560 0.560 0.320
O3 0.282 0.282 0.153
Ti1 0.502 0.502 0.981
Ti2 0.502 0.015 0.981
O4 0.237 0.699 0.826
Li2 0.030 0.030 0.911
O5 0.766 0.312 0.156
Ti3 0.015 0.502 0.981
O6 0.699 0.237 0.826
O7 0.312 0.766 0.156
O8 0.725 0.725 0.826
Ba1 0.859 0.859 0.423